Compound: MgNpTi2
Source: Alexandria via LeMat-Bulk
Functional: PBE
Structure: relaxed Values from VASP.

Output
- M_tot: 3.3 μB/cell
- Space group: P4/mmm, No. 123

The structure in Quantum ESPRESSO input format:
```
&SYSTEM
  ibrav = 0, nat = 4, ntyp = 3
/
ATOMIC_SPECIES
Np 237.00 Np.upf
Ti 47.87 Ti.upf
Mg 24.30 Mg.upf
CELL_PARAMETERS angstrom
3.3274 0.0000 0.0000
0.0000 3.3274 0.0000
0.0000 0.0000 6.8847
ATOMIC_POSITIONS crystal
Np 0.5000 0.5000 0.0000
Ti 0.0000 0.0000 0.7834
Mg 0.5000 0.5000 0.5000
Ti 0.0000 0.0000 0.2166
```

***

Compound: Mg2TcAu
Source: Alexandria via LeMat-Bulk
Functional: PBE
Structure: relaxed Values from VASP.

Output
- M_tot: 0.0 μB/cell
- Space group: C2/m, No. 12
- Relative energy among the computed polymorphs: 26 meV per atom

The structure in Quantum ESPRESSO input format:
```
&SYSTEM
  ibrav = 0, nat = 4, ntyp = 3
/
ATOMIC_SPECIES
Au 196.97 Au.upf
Mg 24.30 Mg.upf
Tc 98.00 Tc.upf
CELL_PARAMETERS angstrom
-2.2945 1.5968 5.9677
-2.8182 -2.4531 -3.4130
-0.2782 -2.1281 1.7680
ATOMIC_POSITIONS crystal
Au 0.5000 0.5000 0.0000
Mg 0.0000 0.0000 0.0000
Tc 0.0000 0.5000 0.5000
Mg 0.5000 0.0000 0.5000
```

***

no.,formation enthalpy at 0 K (meV/atom)
1,308
2,-38